12
Lattice="3.742 -6.482 0.000 3.742 6.482 0.000 -2.495 0.000 7.980" Properties=species:S:1:pos:R:3 comment="PBE Rb3SmPu2Se6, relaxed" dft_energy_ev_per_atom=-6.3007 dos_ef_per_ev_fu=22.9 total_magnetization_mub_per_atom=0.8333 rho_g_cm3=5.9 volume_a3_per_atom=32.26 formation_energy_uncorrected_ev_per_atom=-1.535 pbc="T T T"
Rb 0.000 0.000 0.000
Rb 3.742 2.152 0.000
Rb 3.742 -2.152 0.000
Sm 2.495 0.000 3.990
Pu 2.495 4.320 3.990
Pu 2.495 -4.320 3.990
Se 1.237 2.177 2.422
Se -0.020 0.000 5.556
Se 1.237 -2.177 2.422
Se 3.752 2.177 5.559
Se 5.010 0.000 2.424
Se 3.752 -2.177 5.559